Below is crystalline LiAg2H2 at its relaxed geometry, with properties calculated at the GGA-PBE level.

Structure (CIF):
```
data_LiAg2H2
_symmetry_space_group_name_H-M 'P 1'
_symmetry_Int_Tables_number 1
_cell_length_a 5.349
_cell_length_b 5.349
_cell_length_c 5.349
_cell_angle_alpha 141.62
_cell_angle_beta 141.62
_cell_angle_gamma 55.40
loop_
_symmetry_equiv_pos_as_xyz
'x,y,z'
loop_
_atom_site_label
_atom_site_fract_x
_atom_site_fract_y
_atom_site_fract_z
Li1 0.000 0.000 0.000
Ag1 0.349 0.349 0.000
Ag2 0.651 0.651 0.000
H1 0.250 0.750 0.500
H2 0.750 0.250 0.500
```

Computed properties:
Energy above the most stable polymorph in this dataset   9.1 kJ per mole of atoms
Density   6.370 g/cm3
Crystal system   tetragonal